No. 1
A relaxed structure of LaGdThAl, computed with PBE.

Cell lengths 5.4814, 5.4814, 5.4814 Å; angles 60.00, 60.00, 60.00 degrees
Fractional coordinates of all 4 atoms:
1 La 0.0000 0.0000 0.0000
2 Gd 0.2500 0.2500 0.2500
3 Th 0.5000 0.5000 0.5000
4 Al 0.7500 0.7500 0.7500

N(E_F) (states/eV/cell): 5.49
SG: No. 216
Energy relative to the elements (eV/f.u.): -0.07

=====

No. 2
A relaxed structure of LaGdAlZn, computed with PBE.

Cell lengths 5.2633, 5.2633, 5.2633 Å; angles 60.00, 60.00, 60.00 degrees
Fractional coordinates of all 4 atoms:
1 La 0.0000 0.0000 0.0000
2 Gd 0.5000 0.5000 0.5000
3 Al 0.2500 0.2500 0.2500
4 Zn 0.7500 0.7500 0.7500

N(E_F) (states/eV/cell): 3.92
SG: No. 216
Energy relative to the elements (eV/f.u.): -1.37

=====

No. 3
A relaxed structure of LiGd2Al, computed with PBE.

Cell lengths 5.1785, 5.1785, 3.7118 Å; angles 90.00, 90.00, 90.00 degrees
Fractional coordinates of all 4 atoms:
1 Li 0.0000 0.0000 0.0000
2 Gd 0.0000 0.5000 0.5000
3 Gd 0.5000 0.0000 0.5000
4 Al 0.5000 0.5000 0.0000

N(E_F) (states/eV/cell): 4.00
SG: No. 123
Energy relative to the elements (eV/f.u.): -0.77

=====

No. 4
A relaxed structure of LiGdAl2, computed with PBE.

Cell lengths 4.2985, 4.2985, 4.4685 Å; angles 90.00, 90.00, 90.00 degrees
Fractional coordinates of all 4 atoms:
1 Li 0.0000 0.0000 0.0000
2 Gd 0.5000 0.5000 0.0000
3 Al 0.0000 0.5000 0.5000
4 Al 0.5000 0.0000 0.5000

Distance to the lowest polymorph of the same formula (meV per atom): 49
N(E_F) (states/eV/cell): 3.18
SG: No. 123
Energy relative to the elements (eV/f.u.): -0.89

=====

No. 5
A relaxed structure of LiGdAl, computed with PBE.

Cell lengths 6.1814, 6.1814, 6.1814 Å; angles 148.12, 148.12, 45.70 degrees
Fractional coordinates of all 3 atoms:
1 Li 0.0000 0.0000 0.0000
2 Gd 0.7043 0.7043 0.0000
3 Al 0.3833 0.3833 0.0000

Distance to the lowest polymorph of the same formula (meV per atom): 81
N(E_F) (states/eV/cell): 1.59
SG: No. 107
Energy relative to the elements (eV/f.u.): -0.38

=====

No. 6
A relaxed structure of LiGd2Al, computed with PBE.

Cell lengths 11.7748, 11.7748, 11.7748 Å; angles 16.00, 16.00, 16.00 degrees
Fractional coordinates of all 4 atoms:
1 Li 0.0000 0.0000 0.0000
2 Gd 0.4126 0.4126 0.4126
3 Gd 0.5874 0.5874 0.5874
4 Al 0.5000 0.5000 0.5000

N(E_F) (states/eV/cell): 4.52
SG: No. 166
Energy relative to the elements (eV/f.u.): 1.43

=====

No. 7
A relaxed structure of LiGdAl2, computed with PBE.

Cell lengths 4.8783, 4.8783, 4.8783 Å; angles 60.00, 60.00, 60.00 degrees
Fractional coordinates of all 4 atoms:
1 Li 0.0000 0.0000 0.0000
2 Gd 0.5000 0.5000 0.5000
3 Al 0.2500 0.2500 0.2500
4 Al 0.7500 0.7500 0.7500

Distance to the lowest polymorph of the same formula (meV per atom): 36
N(E_F) (states/eV/cell): 1.49
SG: No. 225
Energy relative to the elements (eV/f.u.): -0.94

=====

No. 8
A relaxed structure of Li2GdAl, computed with PBE.

Cell lengths 4.7717, 4.7717, 4.7717 Å; angles 60.00, 60.00, 60.00 degrees
Fractional coordinates of all 4 atoms:
1 Li 0.2500 0.2500 0.2500
2 Li 0.7500 0.7500 0.7500
3 Gd 0.0000 0.0000 0.0000
4 Al 0.5000 0.5000 0.5000

N(E_F) (states/eV/cell): 1.10
SG: No. 225
Energy relative to the elements (eV/f.u.): -0.68

=====

Repeat the fourth record exactly.
A relaxed structure of LiGdAl2, computed with PBE.

Cell lengths 4.2985, 4.2985, 4.4685 Å; angles 90.00, 90.00, 90.00 degrees
Fractional coordinates of all 4 atoms:
1 Li 0.0000 0.0000 0.0000
2 Gd 0.5000 0.5000 0.0000
3 Al 0.0000 0.5000 0.5000
4 Al 0.5000 0.0000 0.5000

Distance to the lowest polymorph of the same formula (meV per atom): 49
N(E_F) (states/eV/cell): 3.18
SG: No. 123
Energy relative to the elements (eV/f.u.): -0.89

=====

Q: Which value of energy relative to the elements does entry 1 give?
A: -0.07 eV/f.u.

=====

Q: Which formula does entry 6 have?
A: LiGd2Al

=====

Q: Among the records above, which one has the lowest energy relative to the elements?
A: LaGdAlZn